one | LaPmNiIr: relaxed, PBE.

Computed properties:
Calculated density in g/cm³: 10.03
Crystal system: cubic

abc: 5.0024 5.0024 5.0024
angles: 60.00 60.00 60.00
Closest atoms and distances in Å follow each position.
Fractional positions:
La 0.0000 0.0000 0.0000  4 Ni 3.06, 4 Ir 3.06
Pm 0.5000 0.5000 0.5000  4 Ni 3.06, 4 Ir 3.06
Ni 0.2500 0.2500 0.2500  4 La 3.06, 4 Pm 3.06
Ir 0.7500 0.7500 0.7500  4 La 3.06, 4 Pm 3.06

---

two | LaPmNiIr: relaxed, PBE.

Computed properties:
Calculated density in g/cm³: 9.67
Crystal system: orthorhombic

abc: 4.3348 5.7238 5.7238
angles: 40.30 90.00 90.00
Closest atoms and distances in Å follow each position.
Fractional positions:
La 0.0000 0.0000 0.0000  4 Ni 3.01, 3 Ir 3.02-3.07
Pm 0.5000 0.7212 0.7212  4 Ir 3.00, 3 Ni 3.03-3.08
Ni 0.5000 0.4348 0.4348  2 Ir 2.73, 4 La 3.01, 2 Pm 3.03
Ir 0.0000 0.2810 0.2810  2 Ni 2.73, 4 Pm 3.00, 1 La 3.02

---

Stability ranking, top entry: two; the second entry is 75 meV per atom less favorable.

---

one | LaPrNiIr: relaxed, PBE.

Computed properties:
Calculated density in g/cm³: 9.38
Crystal system: orthorhombic

abc: 4.1944 5.9141 5.9141
angles: 39.82 90.00 90.00
Closest atoms and distances in Å follow each position.
Fractional positions:
La 0.0000 0.0000 0.0000  4 Ir 2.98, 3 Ni 3.11-3.19
Pr 0.5000 0.2776 0.2776  4 Ni 2.99, 3 Ir 3.14-3.15
Ni 0.0000 0.7134 0.7134  2 Ir 2.70, 4 Pr 2.99
Ir 0.5000 0.5603 0.5603  2 Ni 2.70, 4 La 2.98

---

two | LaPrNiIr: relaxed, PBE.

Computed properties:
Calculated density in g/cm³: 9.75
Crystal system: cubic

abc: 5.0381 5.0381 5.0381
angles: 60.00 60.00 60.00
Closest atoms and distances in Å follow each position.
Fractional positions:
La 0.0000 0.0000 0.0000  4 Ni 3.09, 4 Ir 3.09
Pr 0.5000 0.5000 0.5000  4 Ni 3.09, 4 Ir 3.09
Ni 0.7500 0.7500 0.7500  4 La 3.09, 4 Pr 3.09
Ir 0.2500 0.2500 0.2500  4 La 3.09, 4 Pr 3.09

---

Stability ranking, top entry: one; the second entry is 91 meV per atom less favorable.

---

one | LaTbNiIr: relaxed, PBE.

Computed properties:
Calculated density in g/cm³: 10.61
Crystal system: cubic

abc: 4.9524 4.9524 4.9524
angles: 60.00 60.00 60.00
Closest atoms and distances in Å follow each position.
Fractional positions:
La 0.0000 0.0000 0.0000  4 Ni 3.03, 4 Ir 3.03
Tb 0.5000 0.5000 0.5000  4 Ni 3.03, 4 Ir 3.03
Ni 0.7500 0.7500 0.7500  4 Tb 3.03, 4 La 3.03
Ir 0.2500 0.2500 0.2500  4 Tb 3.03, 4 La 3.03

---

two | LaTbNiIr: relaxed, PBE.

Computed properties:
Calculated density in g/cm³: 10.20
Crystal system: orthorhombic

abc: 4.2217 5.7525 5.7525
angles: 39.75 90.00 90.00
Closest atoms and distances in Å follow each position.
Fractional positions:
La 0.0000 0.0000 0.0000  4 Ni 2.97, 3 Ir 2.99-3.11
Tb 0.5000 0.7199 0.7199  4 Ir 2.94, 3 Ni 3.01-3.13
Ni 0.5000 0.4310 0.4310  2 Ir 2.70, 4 La 2.97, 2 Tb 3.01
Ir 0.0000 0.2761 0.2761  2 Ni 2.70, 4 Tb 2.94, 1 La 2.99

---

Stability ranking, top entry: two; the second entry is 72 meV per atom less favorable.

---

one | LaNpIr2: relaxed, PBE.

Computed properties:
Calculated density in g/cm³: 13.58
Crystal system: trigonal

abc: 5.9175 5.9175 5.9175
angles: 44.63 44.63 44.63
Closest atoms and distances in Å follow each position.
Fractional positions:
La 0.0000 0.0000 0.0000  8 Ir 3.20-3.44
Np 0.5000 0.5000 0.5000  6 Ir 2.71
Ir 0.2156 0.2156 0.2156  3 Np 2.71, 3 Ir 3.03
Ir 0.7844 0.7844 0.7844  3 Np 2.71, 3 Ir 3.03

---

two | LaNpIr2: relaxed, PBE.

Computed properties:
Calculated density in g/cm³: 14.59
Crystal system: tetragonal

abc: 3.4530 3.4530 7.2569
angles: 90.00 90.00 90.00
Closest atoms and distances in Å follow each position.
Fractional positions:
La 0.0000 0.0000 0.0000  8 Ir 3.21, 4 La 3.45
Np 0.0000 0.0000 0.5000  8 Ir 2.89
Ir 0.5000 0.5000 0.2878  4 Np 2.89, 1 Ir 3.08, 4 La 3.21
Ir 0.5000 0.5000 0.7122  4 Np 2.89, 1 Ir 3.08, 4 La 3.21

---

Stability ranking, top entry: one; the second entry is 90 meV per atom less favorable.

---

one | LaIrO2: relaxed, PBE.

Computed properties:
Calculated density in g/cm³: 7.99
Crystal system: trigonal

abc: 5.8508 5.8508 5.8508
angles: 40.27 40.27 40.27
Closest atoms and distances in Å follow each position.
Fractional positions:
La 0.0000 0.0000 0.0000  6 O 2.46
Ir 0.5000 0.5000 0.5000  2 O 1.89
O 0.3824 0.3824 0.3824  1 Ir 1.89
O 0.6176 0.6176 0.6176  1 Ir 1.89

---

two | LaIrO2: relaxed, PBE.

Computed properties:
Calculated density in g/cm³: 9.44
Crystal system: tetragonal

abc: 7.2658 7.2658 7.2658
angles: 144.64 144.64 50.87
Closest atoms and distances in Å follow each position.
Fractional positions:
La 0.0000 0.0000 0.0000  4 O 2.42
La 0.7500 0.2500 0.5000  4 O 2.42
Ir 0.2500 0.7500 0.5000  4 O 2.14
Ir 0.5000 0.5000 0.0000  4 O 2.14
O 0.1919 0.6250 0.0669  2 Ir 2.14
O 0.3750 0.4419 0.5669  2 Ir 2.14
O 0.5581 0.1250 0.9331  2 Ir 2.14
O 0.8750 0.8081 0.4331  2 Ir 2.14

---

Stability ranking, top entry: one; the second entry is 301 meV per atom less favorable.

---

one | LaIrO4: relaxed, PBE.

Computed properties:
Calculated density in g/cm³: 8.06
Crystal system: monoclinic

abc: 7.7412 5.6048 7.6416
angles: 90.00 101.04 90.00
Closest atoms and distances in Å follow each position.
Fractional positions:
La 0.1599 0.2244 0.4019  6 O 2.32-2.59
La 0.1599 0.2756 0.9019  6 O 2.32-2.59
La 0.8401 0.7244 0.0981  6 O 2.32-2.59
La 0.8401 0.7756 0.5981  6 O 2.32-2.59
Ir 0.3396 0.7310 0.2044  6 O 1.96-2.03
Ir 0.3396 0.7690 0.7044  6 O 1.96-2.03
Ir 0.6604 0.2310 0.2956  6 O 1.96-2.03
Ir 0.6604 0.2690 0.7956  6 O 1.96-2.03
O 0.1194 0.5280 0.1744  1 Ir 2.03
O 0.1194 0.9720 0.6744  1 Ir 2.03
O 0.1801 0.5011 0.6308  1 Ir 1.96
O 0.1801 0.9989 0.1308  1 Ir 1.96
O 0.3368 0.6469 0.9510  2 Ir 1.99-2.01
O 0.3368 0.8531 0.4510  2 Ir 1.99-2.01
O 0.4489 0.0770 0.7979  2 Ir 1.96-1.99
O 0.4489 0.4230 0.2979  2 Ir 1.96-1.99
O 0.5511 0.5770 0.7021  2 Ir 1.96-1.99
O 0.5511 0.9230 0.2021  2 Ir 1.96-1.99
O 0.6632 0.1469 0.5490  2 Ir 1.99-2.01
O 0.6632 0.3531 0.0490  2 Ir 1.99-2.01
O 0.8199 0.0011 0.8692  1 Ir 1.96
O 0.8199 0.4989 0.3692  1 Ir 1.96
O 0.8806 0.0280 0.3256  1 Ir 2.03
O 0.8806 0.4720 0.8256  1 Ir 2.03

---

two | LaIrO4: relaxed, PBE.

Computed properties:
Calculated density in g/cm³: 8.87
Crystal system: tetragonal

abc: 3.6638 3.6638 5.5127
angles: 90.00 90.00 90.00
Closest atoms and distances in Å follow each position.
Fractional positions:
La 0.0000 0.0000 0.0000  8 O 2.43
Ir 0.5000 0.5000 0.5000  8 O 2.16
O 0.0000 0.5000 0.2909  2 Ir 2.16, 1 O 2.31
O 0.0000 0.5000 0.7091  2 Ir 2.16, 1 O 2.31
O 0.5000 0.0000 0.2909  2 Ir 2.16, 1 O 2.31
O 0.5000 0.0000 0.7091  2 Ir 2.16, 1 O 2.31

---

Stability ranking, top entry: one; the second entry is 359 meV per atom less favorable.

---

one | LaPIrO2: relaxed, PBE.

Computed properties:
Calculated density in g/cm³: 8.27
Crystal system: tetragonal

abc: 4.0980 4.0980 4.7136
angles: 90.00 90.00 90.00
Closest atoms and distances in Å follow each position.
Fractional positions:
La 0.0000 0.0000 0.0000  4 P 2.90, 8 O 3.12
P 0.5000 0.5000 0.0000  2 Ir 2.36
Ir 0.5000 0.5000 0.5000  4 O 2.05
O 0.0000 0.5000 0.5000  2 Ir 2.05
O 0.5000 0.0000 0.5000  2 Ir 2.05

---

two | LaPIrO2: relaxed, PBE.

Computed properties:
Calculated density in g/cm³: 5.72
Crystal system: tetragonal

abc: 4.0183 4.0183 7.0858
angles: 90.00 90.00 90.00
Closest atoms and distances in Å follow each position.
Fractional positions:
La 0.0000 0.0000 0.0000  4 O 2.01
P 0.0000 0.0000 0.5000  4 Ir 2.84
Ir 0.5000 0.5000 0.5000  4 P 2.84
O 0.0000 0.5000 0.0000  2 La 2.01
O 0.5000 0.0000 0.0000  2 La 2.01

---

Stability ranking, top entry: one; the second entry is 871 meV per atom less favorable.

---

one | LaP2IrO: relaxed, PBE.

Computed properties:
Calculated density in g/cm³: 5.60
Crystal system: tetragonal

abc: 5.4907 5.4907 4.0240
angles: 90.00 90.00 90.00
Closest atoms and distances in Å follow each position.
Fractional positions:
La 0.0000 0.0000 0.0000  2 O 2.01
P 0.0000 0.5000 0.0000  2 La 2.75
P 0.5000 0.0000 0.0000  2 La 2.75
Ir 0.5000 0.5000 0.5000  8 P 3.40
O 0.0000 0.0000 0.5000  2 La 2.01

---

two | LaP2IrO: relaxed, PBE.

Computed properties:
Calculated density in g/cm³: 7.32
Crystal system: tetragonal

abc: 4.9342 4.9342 3.8110
angles: 90.00 90.00 90.00
Closest atoms and distances in Å follow each position.
Fractional positions:
La 0.0000 0.0000 0.0000  8 P 3.12, 4 O 3.49
P 0.0000 0.5000 0.5000  2 Ir 2.47
P 0.5000 0.0000 0.5000  2 Ir 2.47
Ir 0.5000 0.5000 0.5000  2 O 1.91
O 0.5000 0.5000 0.0000  2 Ir 1.91

---

Stability ranking, top entry: two; the second entry is 1444 meV per atom less favorable.

---

one | LaIrOs: relaxed, PBE.

Computed properties:
Calculated density in g/cm³: 12.42
Crystal system: hexagonal

abc: 4.2639 4.2639 4.4266
angles: 90.00 90.00 120.00
Closest atoms and distances in Å follow each position.
Fractional positions:
La 0.0000 0.0000 0.0000  6 Os 3.31, 6 Ir 3.31
Ir 0.3333 0.6667 0.5000  3 Os 2.46
Os 0.6667 0.3333 0.5000  3 Ir 2.46

---

two | LaIrOs: relaxed, PBE.

Computed properties:
Calculated density in g/cm³: 15.56
Crystal system: trigonal

abc: 2.8885 2.8885 7.6994
angles: 90.00 90.00 120.00
Closest atoms and distances in Å follow each position.
Fractional positions:
La 0.0000 0.0000 0.0000  6 La 2.89
Ir 0.3333 0.6667 0.6355  3 Os 2.65, 6 Ir 2.89
Os 0.6667 0.3333 0.3674  3 Ir 2.65, 6 Os 2.89

---

three | LaIrOs: relaxed, PBE.

Computed properties:
Calculated density in g/cm³: 14.25
Crystal system: monoclinic

abc: 5.2103 5.2103 5.0805
angles: 103.16 103.16 66.27
Closest atoms and distances in Å follow each position.
Fractional positions:
La 0.1343 0.1343 0.3713  2 Ir 2.76, 1 La 2.98, 2 Os 3.06
La 0.8657 0.8657 0.6287  2 Ir 2.76, 1 La 2.98, 2 Os 3.06
Ir 0.0000 0.5000 0.0000  2 Os 2.67, 2 La 2.76, 2 Ir 2.85
Ir 0.5000 0.0000 0.0000  2 Os 2.67, 2 La 2.76, 2 Ir 2.85
Os 0.4957 0.4957 0.7368  2 Os 2.43-2.66, 2 Ir 2.67
Os 0.5043 0.5043 0.2632  2 Os 2.43-2.66, 2 Ir 2.67

---

Stability ranking, top entry: one; the second entry is 162 meV per atom less favorable.

---

one | LaIrOs: relaxed, PBE.

Computed properties:
Calculated density in g/cm³: 15.00
Crystal system: tetragonal

abc: 6.9282 6.9282 6.9282
angles: 155.37 155.37 35.11
Closest atoms and distances in Å follow each position.
Fractional positions:
La 0.0000 0.0000 0.0000  4 La 2.96, 4 Os 3.25, 4 Ir 3.29
Ir 0.6925 0.6925 0.0000  4 Os 2.61
Os 0.3114 0.3114 0.0000  4 Ir 2.61

---

two | LaIrOs: relaxed, PBE.

Computed properties:
Calculated density in g/cm³: 13.51
Crystal system: tetragonal

abc: 5.7244 5.7244 5.7244
angles: 144.12 144.12 51.64
Closest atoms and distances in Å follow each position.
Fractional positions:
La 0.0000 0.0000 0.0000  1 Os 2.88, 1 Ir 2.97
Ir 0.2878 0.2878 0.0000  4 Os 2.59
Os 0.7206 0.7206 0.0000  4 Ir 2.59, 1 La 2.88

---

three | LaIrOs: relaxed, PBE.

Computed properties:
Calculated density in g/cm³: 14.15
Crystal system: orthorhombic

abc: 5.8231 5.8231 5.8231
angles: 151.29 139.61 50.31
Closest atoms and distances in Å follow each position.
Fractional positions:
La 0.0000 0.0000 0.0000  2 La 2.89, 1 Ir 3.04, 1 Os 3.05
Ir 0.2886 0.2886 0.0000  4 Os 2.61, 2 Ir 2.89
Os 0.7109 0.7109 0.0000  4 Ir 2.61, 2 Os 2.89

---

Stability ranking, top entry: three; the second entry is 111 meV per atom less favorable.

---

one | LaIrOs: relaxed, PBE.

Computed properties:
Calculated density in g/cm³: 13.00
Crystal system: cubic

abc: 4.5497 4.5497 4.5497
angles: 60.00 60.00 60.00
Closest atoms and distances in Å follow each position.
Fractional positions:
La 0.0000 0.0000 0.0000  4 Os 2.79, 4 Ir 2.79
Ir 0.7500 0.7500 0.7500  4 La 2.79
Os 0.2500 0.2500 0.2500  4 La 2.79

---

two | LaIrOs: relaxed, PBE.

Computed properties:
Calculated density in g/cm³: 12.92
Crystal system: cubic

abc: 4.5586 4.5586 4.5586
angles: 60.00 60.00 60.00
Closest atoms and distances in Å follow each position.
Fractional positions:
La 0.0000 0.0000 0.0000  4 Os 2.79
Ir 0.5000 0.5000 0.5000  4 Os 2.79
Os 0.7500 0.7500 0.7500  4 La 2.79, 4 Ir 2.79

---

Stability ranking, top entry: two; the second entry is 706 meV per atom less favorable.

---

one | La2PIr2: relaxed, PBE.

Computed properties:
Calculated density in g/cm³: 9.76
Crystal system: tetragonal

abc: 4.1599 4.1599 13.6331
angles: 90.00 90.00 90.00
Closest atoms and distances in Å follow each position.
Fractional positions:
La 0.2500 0.2500 0.1439  5 Ir 2.74-2.86
La 0.2500 0.7500 0.5000  4 La 2.94, 4 Ir 2.97, 4 P 3.12
La 0.7500 0.2500 0.5000  4 La 2.94, 4 Ir 2.97, 4 P 3.12
La 0.7500 0.7500 0.8561  5 Ir 2.74-2.86
P 0.2500 0.2500 0.6704  4 Ir 2.95, 4 La 3.12
P 0.7500 0.7500 0.3296  4 Ir 2.95, 4 La 3.12
Ir 0.2500 0.2500 0.3449  5 La 2.74-2.97, 4 P 2.95
Ir 0.2500 0.7500 0.0000  4 La 2.86, 4 Ir 2.94
Ir 0.7500 0.2500 0.0000  4 La 2.86, 4 Ir 2.94
Ir 0.7500 0.7500 0.6551  5 La 2.74-2.97, 4 P 2.95

---

two | La2PIr2: relaxed, PBE.

Computed properties:
Calculated density in g/cm³: 10.44
Crystal system: tetragonal

abc: 7.2787 7.2787 4.1618
angles: 90.00 90.00 90.00
Closest atoms and distances in Å follow each position.
Fractional positions:
La 0.1845 0.3155 0.0000  6 Ir 2.84-3.11
La 0.3155 0.8155 0.0000  6 Ir 2.84-3.11
La 0.6845 0.1845 0.0000  6 Ir 2.84-3.11
La 0.8155 0.6845 0.0000  6 Ir 2.84-3.11
P 0.0000 0.0000 0.5000  4 Ir 2.86
P 0.5000 0.5000 0.5000  4 Ir 2.86
Ir 0.1280 0.6280 0.5000  1 Ir 2.63, 2 La 2.84, 2 P 2.86
Ir 0.3720 0.1280 0.5000  1 Ir 2.63, 2 La 2.84, 2 P 2.86
Ir 0.6280 0.8720 0.5000  1 Ir 2.63, 2 La 2.84, 2 P 2.86
Ir 0.8720 0.3720 0.5000  1 Ir 2.63, 2 La 2.84, 2 P 2.86

---

Stability ranking, top entry: two; the second entry is 414 meV per atom less favorable.